No. 1
VASP calculation (PBE) on a relaxed structure of NaSiSbOs.

Unit cell a=4.6818 b=4.6818 c=4.6818 alpha=60.00 beta=60.00 gamma=60.00
Fractional coordinates of all 4 atoms:
Na 0.0000 0.0000 0.0000
Si 0.2500 0.2500 0.2500
Sb 0.5000 0.5000 0.5000
Os 0.7500 0.7500 0.7500

Values from the calculation:
Crystal system = cubic
Calculated total energy = -18.88 eV per cell
Volume = 18.141 Å³/atom

***

No. 2
VASP calculation (PBE) on a relaxed structure of K3Pt.

Unit cell a=9.9962 b=9.9962 c=10.3582 alpha=90.00 beta=90.00 gamma=120.00
Fractional coordinates of all 24 atoms:
K 0.0000 0.0000 0.0000
K 0.0000 0.0000 0.5000
K 0.0000 0.2893 0.7801
K 0.0000 0.3733 0.1265
K 0.0000 0.6267 0.6265
K 0.0000 0.7107 0.2801
K 0.2893 0.0000 0.7801
K 0.2893 0.2893 0.2801
K 0.3333 0.6667 0.4275
K 0.3333 0.6667 0.9275
K 0.3733 0.0000 0.1265
K 0.3733 0.3733 0.6265
K 0.6267 0.0000 0.6265
K 0.6267 0.6267 0.1265
K 0.6667 0.3333 0.4275
K 0.6667 0.3333 0.9275
K 0.7107 0.0000 0.2801
K 0.7107 0.7107 0.7801
Pt 0.0000 0.3265 0.4525
Pt 0.0000 0.6735 0.9525
Pt 0.3265 0.0000 0.4525
Pt 0.3265 0.3265 0.9525
Pt 0.6735 0.0000 0.9525
Pt 0.6735 0.6735 0.4525

Values from the calculation:
Crystal system = hexagonal
Calculated total energy = -54.82 eV per cell
Volume = 37.348 Å³/atom

***

No. 3
VASP calculation (PBE) on a relaxed structure of TmAuSO.

Unit cell a=3.8694 b=3.8694 c=8.9552 alpha=90.00 beta=90.00 gamma=90.00
Fractional coordinates of all 8 atoms:
Tm 0.2500 0.2500 0.1213
Tm 0.7500 0.7500 0.8787
Au 0.2500 0.7500 0.5000
Au 0.7500 0.2500 0.5000
S 0.2500 0.2500 0.7195
S 0.7500 0.7500 0.2805
O 0.2500 0.7500 0.0000
O 0.7500 0.2500 0.0000

Values from the calculation:
Crystal system = tetragonal
Calculated total energy = -48.07 eV per cell
Volume = 16.760 Å³/atom

***

No. 4
VASP calculation (PBE) on a relaxed structure of Zr5GaNi2.

Unit cell a=4.1198 b=6.1178 c=6.1178 alpha=78.09 beta=90.00 gamma=90.00
Fractional coordinates of all 8 atoms:
Zr 0.0000 0.0000 0.0000
Zr 0.0000 0.5140 0.9370
Zr 0.0000 0.9370 0.5140
Zr 0.5000 0.2800 0.6864
Zr 0.5000 0.6864 0.2800
Ga 0.5000 0.2130 0.2130
Ni 0.0000 0.3841 0.3841
Ni 0.5000 0.7840 0.7840

Values from the calculation:
Crystal system = orthorhombic
Calculated total energy = -59.10 eV per cell
Volume = 18.860 Å³/atom

***

No. 5
VASP calculation (PBE) on a relaxed structure of B2IrPd2.

Unit cell a=5.1155 b=5.1155 c=5.1155 alpha=138.18 beta=138.18 gamma=60.63
Fractional coordinates of all 5 atoms:
B 0.0988 0.0988 0.0000
B 0.9012 0.9012 0.0000
Ir 0.5000 0.5000 0.0000
Pd 0.2500 0.7500 0.5000
Pd 0.7500 0.2500 0.5000

Values from the calculation:
Crystal system = tetragonal
Calculated total energy = -30.89 eV per cell
Volume = 11.776 Å³/atom

***

No. 6
VASP calculation (PBE) on a relaxed structure of ZrTaCuOs.

Unit cell a=4.5528 b=4.5528 c=4.5528 alpha=60.00 beta=60.00 gamma=60.00
Fractional coordinates of all 4 atoms:
Zr 0.0000 0.0000 0.0000
Ta 0.5000 0.5000 0.5000
Cu 0.2500 0.2500 0.2500
Os 0.7500 0.7500 0.7500

Values from the calculation:
Crystal system = cubic
Calculated total energy = -36.03 eV per cell
ΔH_f (0 K) = -3.97 kcal/mol of atoms
Volume = 16.683 Å³/atom

***

No. 7
VASP calculation (PBE) on a relaxed structure of FeH2.

Unit cell a=4.2592 b=4.2592 c=4.2592 alpha=33.46 beta=33.46 gamma=33.46
Fractional coordinates of all 3 atoms:
Fe 0.0000 0.0000 0.0000
H 0.2516 0.2516 0.2516
H 0.7484 0.7484 0.7484

Values from the calculation:
Crystal system = trigonal
Calculated total energy = -14.64 eV per cell
Volume = 6.974 Å³/atom

***

No. 8
VASP calculation (PBE) on a relaxed structure of Co2Pb.

Unit cell a=5.5046 b=4.1314 c=7.8463 alpha=90.00 beta=90.00 gamma=90.00
Fractional coordinates of all 12 atoms:
Co 0.0502 0.2500 0.2474
Co 0.1498 0.2500 0.9364
Co 0.3502 0.7500 0.4364
Co 0.4498 0.7500 0.7474
Co 0.5502 0.2500 0.2526
Co 0.6498 0.2500 0.5636
Co 0.8502 0.7500 0.0636
Co 0.9498 0.7500 0.7526
Pb 0.1771 0.2500 0.6012
Pb 0.3229 0.7500 0.1012
Pb 0.6771 0.2500 0.8988
Pb 0.8229 0.7500 0.3988

Values from the calculation:
Crystal system = orthorhombic
Calculated total energy = -65.30 eV per cell
Volume = 14.870 Å³/atom

***

No. 9
VASP calculation (PBE) on a relaxed structure of NdHgMo.

Unit cell a=4.8825 b=4.8825 c=4.8825 alpha=60.00 beta=60.00 gamma=60.00
Fractional coordinates of all 3 atoms:
Nd 0.0000 0.0000 0.0000
Hg 0.7500 0.7500 0.7500
Mo 0.5000 0.5000 0.5000

Values from the calculation:
Crystal system = cubic
Calculated total energy = -13.51 eV per cell
ΔH_f (0 K) = 18.42 kcal/mol of atoms
Volume = 27.433 Å³/atom

***

No. 10
VASP calculation (PBE) on a relaxed structure of KErFeSe3.

Unit cell a=7.6983 b=7.6983 c=10.7079 alpha=90.00 beta=90.00 gamma=149.11
Fractional coordinates of all 12 atoms:
K 0.2477 0.7523 0.7500
K 0.7523 0.2477 0.2500
Er 0.5000 0.5000 0.0000
Er 0.5000 0.5000 0.5000
Fe 0.0305 0.9695 0.2500
Fe 0.9695 0.0305 0.7500
Se 0.1244 0.8756 0.0656
Se 0.1244 0.8756 0.4344
Se 0.4331 0.5669 0.2500
Se 0.5669 0.4331 0.7500
Se 0.8756 0.1244 0.5656
Se 0.8756 0.1244 0.9344

Values from the calculation:
Crystal system = orthorhombic
Calculated total energy = -63.25 eV per cell
Volume = 27.153 Å³/atom

***

No. 11
VASP calculation (PBE) on a relaxed structure of DyThAg.

Unit cell a=5.0556 b=5.0556 c=5.0556 alpha=60.00 beta=60.00 gamma=60.00
Fractional coordinates of all 3 atoms:
Dy 0.0000 0.0000 0.0000
Th 0.5000 0.5000 0.5000
Ag 0.2500 0.2500 0.2500

Values from the calculation:
Crystal system = cubic
Calculated total energy = -14.14 eV per cell
ΔH_f (0 K) = 5.35 kcal/mol of atoms
Volume = 30.457 Å³/atom